This record from Alexandria via LeMat-Bulk describes a relaxed Rb2BHC crystal. The functional is GGA-PBE.

```
5
Lattice="6.076 0.000 0.000 0.000 6.076 0.000 0.000 0.000 3.208" Properties=species:S:1:pos:R:3 pbc="T T T"
H 0.000 0.000 1.604
C 3.038 3.038 1.604
B 0.000 0.000 0.000
Rb 0.000 3.038 0.000
Rb 3.038 0.000 0.000
```

Values from the calculation:
The value obtained for the total magnetization is 1.14 μB/cell. Its electronic total energy is -2.47 eV per atom. The space-group type is No. 123. The density is 2.7 g cm⁻³.